The following is a DFT calculation (PBE) of a geometry-optimized Pr6DyTl6 structure.

## Properties
ΔE_f = -140 meV/atom
energy = -3.792 eV per atom
total magnetic moment = 0.0 μB per formula unit
calculated density = 8.9 g/cm3

Structure (CIF):
```
data_Pr6DyTl6
_symmetry_space_group_name_H-M 'C m m m'
_symmetry_Int_Tables_number 65
_symmetry_space_group_name_Hall '-C 2 2'
_cell_length_a 6.973
_cell_length_b 11.463
_cell_length_c 10.478
_cell_angle_alpha 90.00
_cell_angle_beta 90.00
_cell_angle_gamma 90.00
loop_
_atom_site_label
_atom_site_type_symbol
_atom_site_fract_x
_atom_site_fract_y
_atom_site_fract_z
_atom_site_occupancy
Pr1 Pr 0.000 0.000 0.193 1
Pr2 Pr 0.250 0.250 0.281 1
Dy1 Dy 0.000 0.500 0.500 1
Tl1 Tl 0.000 0.128 0.500 1
Tl2 Tl 0.000 0.257 0.000 1
Tl3 Tl 0.000 0.500 0.195 1
```

The following is a DFT calculation (PBE) of a geometry-optimized TlRe3O structure.

## Properties
energy = -5.002 eV per atom
total magnetic moment = 12.6 μB per formula unit
calculated density = 8.8 g/cm3
raw formation energy = 379.3 kJ/mol of atoms

Structure (CIF):
```
data_TlRe3O
_symmetry_space_group_name_H-M 'P m -3 m'
_symmetry_Int_Tables_number 221
_symmetry_space_group_name_Hall '-P 4 2 3'
_cell_length_a 5.268
_cell_length_b 5.268
_cell_length_c 5.268
_cell_angle_alpha 90.00
_cell_angle_beta 90.00
_cell_angle_gamma 90.00
loop_
_atom_site_label
_atom_site_type_symbol
_atom_site_fract_x
_atom_site_fract_y
_atom_site_fract_z
_atom_site_occupancy
Tl1 Tl 0.000 0.000 0.000 1
Re1 Re 0.000 0.000 0.500 1
O1 O 0.500 0.500 0.500 1
```

Which of these has the lowest calculated density? TlRe3O